A plane-wave DFT calculation with GGA+U was carried out for crystalline Li6Mn2O5F2 at its relaxed geometry.

a = 5.129 Å, b = 6.017 Å, c = 10.014 Å
α = 90.00°, β = 107.98°, γ = 90.00°
Sites, in units of the cell vectors:
Li 0.000 0.011 0.000
Li 0.000 0.989 0.500
Li 0.029 0.457 0.994
Li 0.029 0.543 0.494
Li 0.069 0.286 0.230
Li 0.069 0.714 0.730
Li 0.420 0.266 0.489
Li 0.420 0.734 0.989
Li 0.455 0.468 0.724
Li 0.455 0.532 0.224
Li 0.462 0.030 0.707
Li 0.462 0.970 0.207
Mn 0.500 0.224 0.985
Mn 0.500 0.776 0.485
Mn 0.968 0.237 0.727
Mn 0.968 0.763 0.227
O 0.184 0.259 0.605
O 0.184 0.741 0.105
O 0.244 0.447 0.861
O 0.244 0.553 0.361
O 0.287 0.239 0.110
O 0.287 0.761 0.610
O 0.709 0.037 0.589
O 0.709 0.963 0.089
O 0.735 0.236 0.857
O 0.735 0.764 0.357
F 0.212 0.048 0.353
F 0.212 0.952 0.853
F 0.756 0.468 0.125
F 0.756 0.532 0.625

Results
Size of the total moment: 0.53 μB per atom
Relative energy among the computed polymorphs: 0.008 eV per atom
Density: 3.05 Mg/m³
SG: Pc (7)
Energy: -5.698 eV per atom


A plane-wave DFT calculation with GGA+U was carried out for crystalline Li7MnO5F at its relaxed geometry.

a = 5.318 Å, b = 5.445 Å, c = 5.760 Å
α = 91.26°, β = 115.70°, γ = 118.18°
Sites, in units of the cell vectors:
Li 0.000 0.000 0.000
Li 0.057 0.398 0.284
Li 0.349 0.873 0.580
Li 0.474 0.288 0.907
Li 0.584 0.498 0.561
Li 0.793 0.721 0.291
Li 0.898 0.127 0.563
Mn 0.162 0.604 0.922
O 0.039 0.852 0.701
O 0.069 0.722 0.175
O 0.295 0.513 0.680
O 0.350 0.416 0.160
O 0.743 0.265 0.740
F 0.703 0.010 0.179

Results
Size of the total moment: 0.21 μB per atom
Density: 2.65 Mg/m³
SG: P1 (1)
Energy: -5.297 eV per atom


A plane-wave DFT calculation with GGA+U was carried out for crystalline Li2Mn4O7F at its relaxed geometry.

a = 5.918 Å, b = 5.918 Å, c = 5.988 Å
α = 119.77°, β = 119.77°, γ = 62.44°
Sites, in units of the cell vectors:
Li 0.000 0.000 0.000
Li 0.611 0.611 0.858
Mn 0.115 0.605 0.365
Mn 0.225 0.225 0.717
Mn 0.605 0.115 0.365
Mn 0.613 0.613 0.352
O 0.363 0.363 0.581
O 0.371 0.816 0.572
O 0.372 0.372 0.137
O 0.408 0.853 0.144
O 0.816 0.371 0.572
O 0.853 0.408 0.144
O 0.853 0.853 0.570
F 0.862 0.862 0.122

Results
Size of the total moment: 1.07 μB per atom
Density: 4.00 Mg/m³
SG: Cm (8)
Energy: -6.773 eV per atom


A plane-wave DFT calculation with GGA+U was carried out for crystalline Li5MnO3F2 at its relaxed geometry.

a = 5.162 Å, b = 5.162 Å, c = 5.981 Å
α = 106.93°, β = 106.93°, γ = 45.11°
Sites, in units of the cell vectors:
Li 0.000 0.000 0.000
Li 0.298 0.298 0.189
Li 0.327 0.327 0.622
Li 0.673 0.673 0.378
Li 0.702 0.702 0.811
Mn 0.000 0.000 0.500
O 0.139 0.139 0.323
O 0.500 0.500 0.500
O 0.861 0.861 0.677
F 0.180 0.180 0.854
F 0.820 0.820 0.146

Results
Size of the total moment: 0.36 μB per atom
Density: 2.72 Mg/m³
SG: C2/m (12)
Energy: -5.413 eV per atom


A plane-wave DFT calculation with GGA+U was carried out for crystalline LiMnO2F at its relaxed geometry.

a = 3.679 Å, b = 3.679 Å, c = 3.656 Å
α = 90.00°, β = 90.00°, γ = 90.00°
Sites, in units of the cell vectors:
Li 0.000 0.000 0.000
Mn 0.500 0.500 0.500
O 0.000 0.500 0.000
O 0.500 0.000 0.000
F 0.000 0.000 0.500

Results
Size of the total moment: 0.60 μB per atom
Density: 3.79 Mg/m³
SG: P4/mmm (123)
Energy: -5.256 eV per atom


A plane-wave DFT calculation with GGA+U was carried out for crystalline LiMn3OF5 at its relaxed geometry.

a = 8.721 Å, b = 8.721 Å, c = 10.142 Å
α = 124.67°, β = 124.67°, γ = 70.75°
Sites, in units of the cell vectors:
Li 0.232 0.768 0.500
Li 0.247 0.740 0.996
Li 0.740 0.247 0.496
Li 0.768 0.232 0.000
Mn 0.008 0.015 0.757
Mn 0.015 0.008 0.257
Mn 0.044 0.562 0.082
Mn 0.220 0.312 0.788
Mn 0.312 0.220 0.288
Mn 0.487 0.995 0.019
Mn 0.496 0.515 0.822
Mn 0.515 0.496 0.322
Mn 0.562 0.044 0.582
Mn 0.737 0.809 0.787
Mn 0.809 0.737 0.287
Mn 0.995 0.487 0.519
O 0.015 0.802 0.291
O 0.227 0.525 0.760
O 0.525 0.227 0.260
O 0.802 0.015 0.791
F 0.001 0.309 0.831
F 0.002 0.756 0.985
F 0.046 0.268 0.282
F 0.047 0.738 0.552
F 0.216 0.983 0.998
F 0.241 0.491 0.306
F 0.268 0.046 0.782
F 0.309 0.001 0.331
F 0.312 0.529 0.084
F 0.475 0.785 0.518
F 0.491 0.241 0.806
F 0.529 0.312 0.584
F 0.531 0.733 0.799
F 0.536 0.774 0.089
F 0.733 0.531 0.299
F 0.738 0.047 0.052
F 0.756 0.002 0.485
F 0.774 0.536 0.589
F 0.785 0.475 0.018
F 0.983 0.216 0.498

Results
Size of the total moment: 1.50 μB per atom
Density: 3.60 Mg/m³
SG: Cc (9)
Energy: -6.328 eV per atom


A plane-wave DFT calculation with GGA+U was carried out for crystalline Li4MnO2F3 at its relaxed geometry.

a = 5.533 Å, b = 5.766 Å, c = 7.687 Å
α = 101.31°, β = 99.17°, γ = 111.86°
Sites, in units of the cell vectors:
Li 0.000 0.000 0.000
Li 0.000 0.500 0.500
Li 0.092 0.186 0.643
Li 0.355 0.603 0.946
Li 0.389 0.976 0.729
Li 0.611 0.024 0.271
Li 0.645 0.397 0.054
Li 0.908 0.814 0.357
Mn 0.303 0.417 0.297
Mn 0.697 0.583 0.703
O 0.024 0.173 0.365
O 0.463 0.349 0.800
O 0.537 0.651 0.200
O 0.976 0.827 0.635
F 0.010 0.551 0.219
F 0.351 0.111 0.103
F 0.398 0.679 0.555
F 0.602 0.321 0.445
F 0.649 0.889 0.897
F 0.990 0.449 0.781

Results
Size of the total moment: 0.40 μB per atom
Relative energy among the computed polymorphs: 0.176 eV per atom
Density: 2.64 Mg/m³
SG: P-1 (2)
Energy: -5.301 eV per atom


A plane-wave DFT calculation with GGA+U was carried out for crystalline Li4Mn7O9F7 at its relaxed geometry.

a = 6.061 Å, b = 6.061 Å, c = 10.915 Å
α = 109.71°, β = 109.71°, γ = 57.62°
Sites, in units of the cell vectors:
Li 0.000 0.000 0.000
Li 0.106 0.106 0.399
Li 0.511 0.511 0.495
Li 0.622 0.622 0.883
Mn 0.063 0.561 0.702
Mn 0.065 0.547 0.202
Mn 0.071 0.071 0.704
Mn 0.305 0.305 0.943
Mn 0.547 0.065 0.202
Mn 0.561 0.063 0.702
Mn 0.800 0.800 0.444
O 0.189 0.189 0.602
O 0.204 0.204 0.086
O 0.406 0.406 0.308
O 0.414 0.967 0.822
O 0.421 0.421 0.806
O 0.717 0.717 0.576
O 0.895 0.895 0.321
O 0.939 0.939 0.791
O 0.967 0.414 0.822
F 0.169 0.664 0.058
F 0.172 0.714 0.564
F 0.441 0.928 0.342
F 0.664 0.169 0.058
F 0.698 0.698 0.085
F 0.714 0.172 0.564
F 0.928 0.441 0.342

Results
Size of the total moment: 0.89 μB per atom
Density: 3.66 Mg/m³
SG: Cm (8)
Energy: -6.329 eV per atom


A plane-wave DFT calculation with GGA+U was carried out for crystalline Li7MnO4F2 at its relaxed geometry.

a = 5.375 Å, b = 5.819 Å, c = 9.991 Å
α = 74.35°, β = 87.23°, γ = 65.35°
Sites, in units of the cell vectors:
Li 0.000 0.000 0.000
Li 0.003 0.965 0.340
Li 0.016 0.280 0.125
Li 0.030 0.627 0.244
Li 0.055 0.284 0.456
Li 0.318 0.746 0.691
Li 0.429 0.035 0.819
Li 0.460 0.335 0.594
Li 0.498 0.659 0.014
Li 0.519 0.992 0.124
Li 0.529 0.231 0.281
Li 0.533 0.310 0.914
Li 0.653 0.816 0.515
Li 0.966 0.290 0.764
Mn 0.515 0.636 0.326
Mn 0.975 0.663 0.871
O 0.178 0.879 0.846
O 0.223 0.885 0.175
O 0.248 0.431 0.768
O 0.319 0.432 0.400
O 0.700 0.863 0.314
O 0.705 0.898 0.970
O 0.824 0.403 0.936
O 0.832 0.353 0.286
F 0.244 0.902 0.498
F 0.340 0.369 0.091
F 0.623 0.945 0.668
F 0.765 0.437 0.586

Results
Size of the total moment: 0.29 μB per atom
Relative energy among the computed polymorphs: 0.005 eV per atom
Density: 2.50 Mg/m³
SG: P1 (1)
Energy: -5.255 eV per atom


A plane-wave DFT calculation with GGA+U was carried out for crystalline Li4MnO2F3 at its relaxed geometry.

a = 5.127 Å, b = 5.127 Å, c = 6.646 Å
α = 128.34°, β = 128.34°, γ = 45.11°
Sites, in units of the cell vectors:
Li 0.000 0.000 0.000
Li 0.190 0.190 0.547
Li 0.575 0.575 0.751
Li 0.807 0.807 0.399
Mn 0.373 0.373 0.175
O 0.290 0.290 0.360
O 0.883 0.883 0.165
F 0.076 0.076 0.772
F 0.455 0.455 0.953
F 0.681 0.681 0.562

Results
Size of the total moment: 0.40 μB per atom
Relative energy among the computed polymorphs: 0.013 eV per atom
Density: 3.11 Mg/m³
SG: Cm (8)
Energy: -5.464 eV per atom


A plane-wave DFT calculation with GGA+U was carried out for crystalline LiMnOF2 at its relaxed geometry.

a = 4.978 Å, b = 5.230 Å, c = 8.524 Å
α = 90.00°, β = 90.00°, γ = 90.00°
Sites, in units of the cell vectors:
Li 0.000 0.000 0.000
Li 0.000 0.500 0.395
Li 0.500 0.000 0.895
Li 0.500 0.500 0.500
Mn 0.000 0.000 0.642
Mn 0.000 0.500 0.809
Mn 0.500 0.000 0.309
Mn 0.500 0.500 0.142
O 0.182 0.182 0.803
O 0.318 0.682 0.303
O 0.682 0.318 0.303
O 0.818 0.818 0.803
F 0.229 0.165 0.471
F 0.229 0.651 0.629
F 0.271 0.151 0.129
F 0.271 0.665 0.971
F 0.729 0.335 0.971
F 0.729 0.849 0.129
F 0.771 0.349 0.629
F 0.771 0.835 0.471

Results
Size of the total moment: 0.80 μB per atom
Relative energy among the computed polymorphs: 0.063 eV per atom
Density: 3.47 Mg/m³
SG: Pnn2 (34)
Energy: -5.918 eV per atom


A plane-wave DFT calculation with GGA+U was carried out for crystalline Li4Mn3O2F6 at its relaxed geometry.

a = 5.421 Å, b = 5.427 Å, c = 6.246 Å
α = 69.42°, β = 86.17°, γ = 79.36°
Sites, in units of the cell vectors:
Li 0.214 0.480 0.343
Li 0.280 0.521 0.876
Li 0.720 0.479 0.124
Li 0.786 0.520 0.657
Mn 0.000 0.000 0.000
Mn 0.488 0.978 0.243
Mn 0.512 0.022 0.757
O 0.353 0.766 0.061
O 0.647 0.234 0.939
F 0.124 0.263 0.170
F 0.143 0.306 0.686
F 0.433 0.746 0.592
F 0.567 0.254 0.408
F 0.857 0.694 0.314
F 0.876 0.737 0.830

Results
Size of the total moment: 1.00 μB per atom
Density: 3.33 Mg/m³
SG: P-1 (2)
Energy: -5.876 eV per atom